(1)
The following is a DFT calculation (PBE) of a geometry-optimized Ca2TcMoPd structure.

The structure in extended XYZ format:
```
5
Lattice="5.312 0.000 0.000 0.000 4.830 0.000 0.000 0.000 5.312" Properties=species:S:1:pos:R:3 pbc="T T T"
Pd 0.000 0.000 0.000
Tc 2.656 2.415 2.656
Mo 0.000 2.415 0.000
Ca 2.656 0.000 0.000
Ca 0.000 0.000 2.656
```

The relative energy among the computed polymorphs is 0.08 eV/f.u. The formation enthalpy at 0 K comes out at 1203.3 meV per atom.


(2)
The following is a DFT calculation (PBE) of a geometry-optimized NaCa2LaRh structure.

The structure in extended XYZ format:
```
5
Lattice="5.748 0.000 0.000 0.000 5.748 0.000 0.000 0.000 5.435" Properties=species:S:1:pos:R:3 pbc="T T T"
La 0.000 0.000 2.718
Ca 2.874 0.000 0.000
Ca 0.000 2.874 0.000
Rh 0.000 0.000 0.000
Na 2.874 2.874 2.718
```

The formation enthalpy at 0 K comes out at -268.3 meV per atom.


(3)
The following is a DFT calculation (PBE) of a geometry-optimized Sc3SeS2 structure.

The structure in extended XYZ format:
```
6
Lattice="-0.504 -3.306 -1.717 3.600 -2.205 3.188 -5.610 1.457 2.955" Properties=species:S:1:pos:R:3 pbc="T T T"
S 1.615 -4.359 1.745
S -4.129 0.306 2.680
Sc -0.039 -3.210 0.018
Sc -3.057 -0.924 0.619
Sc -2.475 -0.843 4.407
Se -1.257 -2.027 2.213
```


(4)
The following is a DFT calculation (PBE) of a geometry-optimized CaMnAs2Rh structure.

The structure in extended XYZ format:
```
5
Lattice="4.122 0.000 0.000 0.000 4.122 0.000 -2.061 -2.061 5.256" Properties=species:S:1:pos:R:3 pbc="T T T"
Rh 0.000 2.061 2.628
Ca 0.000 0.000 0.000
As 2.061 2.061 1.396
As 0.000 0.000 3.860
Mn 2.061 0.000 2.628
```

The formation enthalpy at 0 K comes out at -629.9 meV per atom.


(5)
The following is a DFT calculation (PBE) of a geometry-optimized KTaTc2 structure.

The structure in extended XYZ format:
```
8
Lattice="-4.256 -1.530 -1.954 -0.183 -3.675 3.276 -6.630 2.571 6.219" Properties=species:S:1:pos:R:3 pbc="T T T"
Tc -5.681 -3.059 1.807
Tc -8.711 0.291 3.221
Tc -6.600 0.735 4.484
Tc -5.219 -1.088 0.340
Ta 0.000 0.000 0.000
Ta -6.553 -0.781 2.463
K -2.219 -2.602 0.661
K -4.516 -1.853 5.078
```

The relative energy among the computed polymorphs is 4.01 eV/f.u. The formation enthalpy at 0 K comes out at 1559.4 meV per atom.


(6)
The following is a DFT calculation (PBE) of a geometry-optimized AcErCd3 structure.

The structure in extended XYZ format:
```
10
Lattice="5.070 0.000 0.000 0.000 3.716 0.000 0.000 -1.858 14.994" Properties=species:S:1:pos:R:3 pbc="T T T"
Cd 3.802 1.858 0.742
Cd 3.802 0.000 9.536
Cd 1.267 0.000 14.252
Cd 3.802 1.858 3.813
Cd 1.267 0.000 11.182
Cd 1.267 1.858 5.458
Ac 1.267 0.000 2.313
Ac 3.802 1.858 12.681
Er 3.802 0.000 6.429
Er 1.267 1.858 8.565
```

The formation enthalpy at 0 K comes out at -289.2 meV per atom.


| no. | electronic total energy (eV/f.u.) |
| --- | --- |
| 1 | -24.4 |
| 2 | -18.9 |
| 3 | -41.4 |
| 4 | -31.0 |
| 5 | -27.4 |
| 6 | -12.9 |